*a*
This record from Alexandria describes a geometry-optimized Cr2SbCl structure. The functional is PBE.

a = 9.7522 Å, b = 9.7522 Å, c = 9.7522 Å
α = 18.69°, β = 18.69°, γ = 18.69°
Positions (direct):
Cr  0.0000  0.0000  0.0000
Cr  0.2722  0.2722  0.2722
Sb  0.7422  0.7422  0.7422
Cl  0.5478  0.5478  0.5478

***

*b*
This record from Alexandria describes a geometry-optimized Cr2SbCl structure. The functional is PBE.

a = 4.9574 Å, b = 4.9574 Å, c = 4.9574 Å
α = 130.64°, β = 110.61°, γ = 89.81°
Positions (direct):
Cr  0.2269  0.2269  0.0000
Cr  0.7731  0.7731  0.0000
Sb  0.5000  0.0000  0.5000
Cl  0.0000  0.5000  0.5000

***

The structure with the least stability is *b*.

***

*a*
This record from Alexandria describes a geometry-optimized BeIn structure. The functional is PBE.

a = 6.2359 Å, b = 6.2359 Å, c = 6.1347 Å
α = 106.71°, β = 106.71°, γ = 27.91°
Positions (direct):
Be  0.0000  0.0000  0.0000
Be  0.5386  0.5386  0.2676
Be  0.8971  0.8971  0.2476
In  0.2262  0.2262  0.3191
In  0.2920  0.2920  0.8536
In  0.5203  0.5203  0.6661

***

*b*
This record from Alexandria describes a geometry-optimized BeIn structure. The functional is PBE.

a = 5.0885 Å, b = 5.0885 Å, c = 5.0885 Å
α = 133.05°, β = 133.05°, γ = 68.58°
Positions (direct):
Be  0.3750  0.6250  0.7500
Be  0.6250  0.3750  0.2500
In  0.1250  0.8750  0.2500
In  0.8750  0.1250  0.7500

***

The structure with the least stability is *b*.

***

*a*
This record from Alexandria describes a geometry-optimized LaY2Re structure. The functional is PBE.

a = 3.4518 Å, b = 3.4518 Å, c = 9.5497 Å
α = 90.00°, β = 90.00°, γ = 90.00°
Positions (direct):
La  0.0000  0.0000  0.0000
Y  0.5000  0.5000  0.3241
Y  0.5000  0.5000  0.6759
Re  0.0000  0.0000  0.5000

***

*b*
This record from Alexandria describes a geometry-optimized LaY2Re structure. The functional is PBE.

a = 6.5998 Å, b = 6.5998 Å, c = 5.3620 Å
α = 113.90°, β = 113.90°, γ = 31.97°
Positions (direct):
La  0.0000  0.0000  0.0000
Y  0.1951  0.1951  0.6953
Y  0.8049  0.8049  0.3047
Re  0.5000  0.5000  0.5000

***

The structure with the least stability is *b*.

***

*a*
This record from Alexandria describes a geometry-optimized CrAs2Cl structure. The functional is PBE.

a = 4.7532 Å, b = 4.7532 Å, c = 7.4468 Å
α = 102.54°, β = 102.54°, γ = 37.48°
Positions (direct):
Cr  0.0000  0.0000  0.0000
As  0.5881  0.5881  0.3004
As  0.7350  0.7350  0.0744
Cl  0.4068  0.4068  0.7623

***

*b*
This record from Alexandria describes a geometry-optimized CrAs2Cl structure. The functional is PBE.

a = 3.4683 Å, b = 3.4683 Å, c = 8.5521 Å
α = 90.00°, β = 90.00°, γ = 117.84°
Positions (direct):
Cr  0.0000  0.0000  0.0000
As  0.0000  0.0000  0.5819
As  0.5000  0.5000  0.7850
Cl  0.5000  0.5000  0.1891

***

The structure with the least stability is *b*.

***

*a*
This record from Alexandria describes a geometry-optimized MgHgOs2 structure. The functional is PBE.

a = 4.7673 Å, b = 4.7673 Å, c = 5.0931 Å
α = 97.82°, β = 97.82°, γ = 35.34°
Positions (direct):
Mg  0.0000  0.0000  0.0000
Hg  0.2443  0.2443  0.7775
Os  0.4899  0.4899  0.4605
Os  0.7526  0.7526  0.2928

***

*b*
This record from Alexandria describes a geometry-optimized MgHgOs2 structure. The functional is PBE.

a = 2.8639 Å, b = 3.4962 Å, c = 6.9242 Å
α = 90.00°, β = 90.06°, γ = 90.00°
Positions (direct):
Mg  0.0000  0.0000  0.0000
Hg  0.4978  0.5000  0.2817
Os  0.4992  0.5000  0.7482
Os  0.9979  0.0000  0.5692

***

The structure with the least stability is *a*.

***

*a*
This record from Alexandria describes a geometry-optimized ScNi3H structure. The functional is PBE.

a = 7.0984 Å, b = 7.0984 Å, c = 4.4377 Å
α = 90.00°, β = 90.00°, γ = 101.46°
Positions (direct):
Sc  0.0655  0.6978  0.0000
Sc  0.3022  0.9345  0.5000
Sc  0.6978  0.0655  0.5000
Sc  0.9345  0.3022  0.0000
Ni  0.0646  0.1816  0.5000
Ni  0.1816  0.0646  0.0000
Ni  0.1880  0.5446  0.5000
Ni  0.3285  0.4513  0.0000
Ni  0.4513  0.3285  0.5000
Ni  0.4554  0.8120  0.0000
Ni  0.5446  0.1880  0.0000
Ni  0.5487  0.6715  0.5000
Ni  0.6715  0.5487  0.0000
Ni  0.8120  0.4554  0.5000
Ni  0.8184  0.9354  0.0000
Ni  0.9354  0.8184  0.5000
H  0.2583  0.2583  0.2500
H  0.2583  0.2583  0.7500
H  0.7417  0.7417  0.2500
H  0.7417  0.7417  0.7500

***

*b*
This record from Alexandria describes a geometry-optimized ScNi3H structure. The functional is PBE.

a = 7.0115 Å, b = 7.0115 Å, c = 4.7133 Å
α = 90.00°, β = 90.00°, γ = 77.42°
Positions (direct):
Sc  0.1324  0.8676  0.7500
Sc  0.3670  0.6330  0.2500
Sc  0.6330  0.3670  0.7500
Sc  0.8676  0.1324  0.2500
Ni  0.0134  0.2219  0.7500
Ni  0.0285  0.5593  0.7500
Ni  0.2219  0.0134  0.2500
Ni  0.3022  0.3022  0.0000
Ni  0.3022  0.3022  0.5000
Ni  0.4407  0.9715  0.7500
Ni  0.5593  0.0285  0.2500
Ni  0.6978  0.6978  0.0000
Ni  0.6978  0.6978  0.5000
Ni  0.7781  0.9866  0.7500
Ni  0.9715  0.4407  0.2500
Ni  0.9866  0.7781  0.2500
H  0.2890  0.4844  0.7500
H  0.4844  0.2890  0.2500
H  0.5156  0.7110  0.7500
H  0.7110  0.5156  0.2500

***

The structure with the least stability is *a*.

***

*a*
This record from Alexandria describes a geometry-optimized PrY2Sn structure. The functional is PBE.

a = 4.9187 Å, b = 4.9187 Å, c = 4.8343 Å
α = 90.00°, β = 90.00°, γ = 90.00°
Positions (direct):
Pr  0.0000  0.0000  0.0000
Y  0.0000  0.5000  0.5000
Y  0.5000  0.0000  0.5000
Sn  0.5000  0.5000  0.0000

***

*b*
This record from Alexandria describes a geometry-optimized PrY2Sn structure. The functional is PBE.

a = 6.6483 Å, b = 6.6483 Å, c = 9.5081 Å
α = 90.00°, β = 90.00°, γ = 142.24°
Positions (direct):
Pr  0.0572  0.9428  0.7500
Pr  0.9428  0.0572  0.2500
Y  0.3613  0.6387  0.5488
Y  0.3613  0.6387  0.9512
Y  0.6387  0.3613  0.0488
Y  0.6387  0.3613  0.4512
Sn  0.2423  0.7577  0.2500
Sn  0.7577  0.2423  0.7500

***

The structure with the least stability is *b*.

***

*a*
This record from Alexandria describes a geometry-optimized B5C7 structure. The functional is PBE.

a = 5.9000 Å, b = 5.9000 Å, c = 5.5128 Å
α = 108.88°, β = 108.88°, γ = 25.44°
Positions (direct):
B  0.0000  0.0000  0.0000
B  0.0444  0.0444  0.3314
B  0.3118  0.3118  0.6781
B  0.4311  0.4311  0.1003
B  0.6645  0.6645  0.3630
C  0.0800  0.0800  0.8223
C  0.3242  0.3242  0.2235
C  0.4024  0.4024  0.5134
C  0.6611  0.6611  0.8700
C  0.7382  0.7382  0.6855
C  0.7427  0.7427  0.1611
C  0.9836  0.9836  0.5527

***

*b*
This record from Alexandria describes a geometry-optimized B5C7 structure. The functional is PBE.

a = 2.4502 Å, b = 2.5923 Å, c = 12.3868 Å
α = 90.00°, β = 90.00°, γ = 90.00°
Positions (direct):
B  0.0000  0.0000  0.0000
B  0.0000  0.0000  0.3470
B  0.0000  0.5000  0.6226
B  0.5000  0.0000  0.1113
B  0.5000  0.5000  0.5112
C  0.0000  0.0000  0.7039
C  0.0000  0.5000  0.2610
C  0.0000  0.5000  0.9203
C  0.5000  0.0000  0.4366
C  0.5000  0.0000  0.7733
C  0.5000  0.5000  0.1931
C  0.5000  0.5000  0.8505

***

The structure with the least stability is *a*.